DFT (PBEsol) results for a geometry-optimized Ta2Mo2O11 structure.

a b c (Å): 5.6460 5.6460 9.2071
angles (deg): 72.14 72.14 60.00
Last column: nearest neighbours and their distance in Å.
Atoms (fractional coordinates):
Ta (0.6279, 0.6279, 0.1163)  6 O 1.91-2.04
Ta (0.3721, 0.3721, 0.8837)  6 O 1.91-2.04
Mo (0.8880, 0.8880, 0.3360)  4 O 1.70-1.78
Mo (0.1120, 0.1120, 0.6640)  4 O 1.70-1.78
O (0.2600, 0.2600, 0.7346)  1 Mo 1.78
O (0.2600, 0.7454, 0.7346)  1 Mo 1.78
O (0.7454, 0.2600, 0.7346)  1 Mo 1.78
O (0.7400, 0.2546, 0.2654)  1 Mo 1.78
O (0.7400, 0.7400, 0.2654)  1 Mo 1.78
O (0.2546, 0.7400, 0.2654)  1 Mo 1.78
O (0.8223, 0.8223, 0.5330)  1 Mo 1.70
O (0.1777, 0.1777, 0.4670)  1 Mo 1.70
O (0.0000, 0.5000, 0.0000)  2 Ta 1.91
O (0.5000, 0.5000, 0.0000)  2 Ta 1.91
O (0.5000, 0.0000, 0.0000)  2 Ta 1.91

Summary:
- Raw formation energy: -3431 kJ/mol of formula units
- Calculated density: 5.10 g cm⁻³
- Space-group type: R-3m
- E_tot: -141.9 eV for the cell shown

DFT (PBEsol) results for a geometry-optimized Tb2Mo3O12 structure.

a b c (Å): 10.3106 10.3402 10.6013
angles (deg): 90.00 90.00 90.00
Last column: nearest neighbours and their distance in Å.
Atoms (fractional coordinates):
Tb (0.9934, 0.1871, 0.2638)  7 O 2.24-2.39
Tb (0.0066, 0.8129, 0.2638)  7 O 2.24-2.39
Tb (0.5066, 0.6871, 0.2638)  7 O 2.24-2.39
Tb (0.4934, 0.3129, 0.2638)  7 O 2.24-2.39
Tb (0.6871, 0.0041, 0.7375)  7 O 2.23-2.40
Tb (0.3129, 0.9959, 0.7375)  7 O 2.23-2.40
Tb (0.8129, 0.5041, 0.7375)  7 O 2.23-2.40
Tb (0.1871, 0.4959, 0.7375)  7 O 2.23-2.40
Mo (0.7427, 0.2566, 0.0002)  4 O 1.76
Mo (0.2573, 0.7434, 0.0002)  4 O 1.76
Mo (0.7573, 0.7566, 0.0002)  4 O 1.76
Mo (0.2427, 0.2434, 0.0002)  4 O 1.76
Mo (0.5027, 0.2936, 0.6438)  4 O 1.75-1.80
Mo (0.4973, 0.7064, 0.6438)  4 O 1.75-1.80
Mo (0.9973, 0.7936, 0.6438)  4 O 1.75-1.80
Mo (0.0027, 0.2064, 0.6438)  4 O 1.75-1.80
Mo (0.7055, 0.0107, 0.3568)  4 O 1.75-1.80
Mo (0.2945, 0.9893, 0.3568)  4 O 1.75-1.80
Mo (0.7945, 0.5107, 0.3568)  4 O 1.75-1.80
Mo (0.2055, 0.4893, 0.3568)  4 O 1.75-1.80
O (0.6712, 0.1415, 0.9001)  1 Mo 1.76
O (0.3288, 0.8585, 0.9001)  1 Mo 1.76
O (0.8288, 0.6415, 0.9001)  1 Mo 1.76
O (0.1712, 0.3585, 0.9001)  1 Mo 1.76
O (0.8567, 0.1823, 0.1002)  1 Mo 1.76
O (0.1433, 0.8177, 0.1002)  1 Mo 1.76
O (0.6433, 0.6823, 0.1002)  1 Mo 1.76
O (0.3567, 0.3177, 0.1002)  1 Mo 1.76
O (0.8171, 0.3752, 0.9059)  1 Mo 1.76
O (0.1829, 0.6248, 0.9059)  1 Mo 1.76
O (0.6829, 0.8752, 0.9059)  1 Mo 1.76
O (0.3171, 0.1248, 0.9059)  1 Mo 1.76
O (0.6222, 0.3281, 0.0945)  1 Mo 1.76
O (0.3778, 0.6719, 0.0945)  1 Mo 1.76
O (0.8778, 0.8281, 0.0945)  1 Mo 1.76
O (0.1222, 0.1719, 0.0945)  1 Mo 1.76
O (0.8788, 0.1187, 0.7179)  1 Mo 1.75
O (0.8842, 0.3827, 0.2927)  1 Mo 1.75
O (0.6158, 0.8827, 0.2927)  1 Mo 1.75
O (0.3842, 0.1173, 0.2927)  1 Mo 1.75
O (0.1933, 0.4903, 0.5212)  1 Mo 1.75
O (0.8067, 0.5097, 0.5212)  1 Mo 1.75
O (0.3067, 0.9903, 0.5212)  1 Mo 1.75
O (0.6933, 0.0097, 0.5212)  1 Mo 1.75
O (0.4811, 0.3046, 0.4804)  1 Mo 1.75
O (0.5189, 0.6954, 0.4804)  1 Mo 1.75
O (0.0189, 0.8046, 0.4804)  1 Mo 1.75
O (0.9811, 0.1954, 0.4804)  1 Mo 1.75
O (0.1273, 0.0050, 0.3100)  1 Mo 1.80
O (0.8727, 0.9950, 0.3100)  1 Mo 1.80
O (0.3727, 0.5050, 0.3100)  1 Mo 1.80
O (0.6273, 0.4950, 0.3100)  1 Mo 1.80
O (0.4947, 0.1268, 0.6923)  1 Mo 1.80
O (0.5053, 0.8732, 0.6923)  1 Mo 1.80
O (0.0053, 0.6268, 0.6923)  1 Mo 1.80
O (0.9947, 0.3732, 0.6923)  1 Mo 1.80
O (0.1572, 0.1498, 0.6848)  1 Mo 1.75
O (0.8428, 0.8502, 0.6848)  1 Mo 1.75
O (0.3428, 0.6498, 0.6848)  1 Mo 1.75
O (0.6572, 0.3502, 0.6848)  1 Mo 1.75
O (0.1524, 0.3376, 0.3041)  1 Mo 1.75
O (0.8476, 0.6624, 0.3041)  1 Mo 1.75
O (0.3476, 0.8376, 0.3041)  1 Mo 1.75
O (0.6524, 0.1624, 0.3041)  1 Mo 1.75
O (0.3788, 0.3813, 0.7179)  1 Mo 1.75
O (0.6212, 0.6187, 0.7179)  1 Mo 1.75
O (0.1212, 0.8813, 0.7179)  1 Mo 1.75
O (0.1158, 0.6173, 0.2927)  1 Mo 1.75

Summary:
- Raw formation energy: -4175 kJ/mol of formula units
- Calculated density: 4.69 g cm⁻³
- Space-group type: Pba2
- E_tot: -606.4 eV for the cell shown

DFT (PBEsol) results for a geometry-optimized Tb2Mo3O12 structure.

a b c (Å): 7.3453 7.3453 10.5778
angles (deg): 90.00 90.00 90.00
Last column: nearest neighbours and their distance in Å.
Atoms (fractional coordinates):
Tb (0.1862, 0.6862, 0.2624)  7 O 2.24-2.39
Tb (0.8138, 0.3138, 0.2624)  7 O 2.24-2.39
Tb (0.6862, 0.8138, 0.7376)  7 O 2.24-2.39
Tb (0.3138, 0.1862, 0.7376)  7 O 2.24-2.39
Mo (0.2070, 0.7070, 0.6444)  4 O 1.75-1.80
Mo (0.7930, 0.2930, 0.6444)  4 O 1.75-1.80
Mo (0.7070, 0.7930, 0.3556)  4 O 1.75-1.80
Mo (0.2930, 0.2070, 0.3556)  4 O 1.75-1.80
Mo (0.0000, 0.0000, 0.0000)  4 O 1.76
Mo (0.5000, 0.5000, 0.0000)  4 O 1.76
O (0.1951, 0.6951, 0.4794)  1 Mo 1.75
O (0.8049, 0.3049, 0.4794)  1 Mo 1.75
O (0.6951, 0.8049, 0.5206)  1 Mo 1.75
O (0.3049, 0.1951, 0.5206)  1 Mo 1.75
O (0.6262, 0.1262, 0.6912)  1 Mo 1.80
O (0.3738, 0.8738, 0.6912)  1 Mo 1.80
O (0.1262, 0.3738, 0.3088)  1 Mo 1.80
O (0.8738, 0.6262, 0.3088)  1 Mo 1.80
O (0.7746, 0.0051, 0.2965)  1 Mo 1.75
O (0.2254, 0.9949, 0.2965)  1 Mo 1.75
O (0.5051, 0.2746, 0.2965)  1 Mo 1.75
O (0.4949, 0.7254, 0.2965)  1 Mo 1.75
O (0.0051, 0.2254, 0.7035)  1 Mo 1.75
O (0.9949, 0.7746, 0.7035)  1 Mo 1.75
O (0.7254, 0.5051, 0.7035)  1 Mo 1.75
O (0.2746, 0.4949, 0.7035)  1 Mo 1.75
O (0.8100, 0.9572, 0.9032)  1 Mo 1.76
O (0.1900, 0.0428, 0.9032)  1 Mo 1.76
O (0.4572, 0.3100, 0.9032)  1 Mo 1.76
O (0.5428, 0.6900, 0.9032)  1 Mo 1.76
O (0.9572, 0.1900, 0.0968)  1 Mo 1.76
O (0.0428, 0.8100, 0.0968)  1 Mo 1.76
O (0.6900, 0.4572, 0.0968)  1 Mo 1.76
O (0.3100, 0.5428, 0.0968)  1 Mo 1.76

Summary:
- Raw formation energy: -4175 kJ/mol of formula units
- Calculated density: 4.64 g cm⁻³
- Space-group type: P-42_1m
- E_tot: -303.2 eV for the cell shown

DFT (PBEsol) results for a geometry-optimized Tb2Mo4O15 structure.

a b c (Å): 6.7580 9.6072 10.6130
angles (deg): 90.00 105.27 90.00
Last column: nearest neighbours and their distance in Å.
Atoms (fractional coordinates):
Tb (0.7890, 0.5233, 0.2245)  7 O 2.26-2.34
Tb (0.2110, 0.0233, 0.2755)  7 O 2.26-2.34
Tb (0.2110, 0.4767, 0.7755)  7 O 2.26-2.34
Tb (0.7890, 0.9767, 0.7245)  7 O 2.26-2.34
Mo (0.9180, 0.2553, 0.9887)  4 O 1.75-1.79
Mo (0.0820, 0.7553, 0.5113)  4 O 1.75-1.79
Mo (0.0820, 0.7447, 0.0113)  4 O 1.75-1.79
Mo (0.9180, 0.2447, 0.4887)  4 O 1.75-1.79
Mo (0.6172, 0.9049, 0.1556)  4 O 1.74-1.87
Mo (0.3828, 0.4049, 0.3444)  4 O 1.74-1.87
Mo (0.3828, 0.0951, 0.8444)  4 O 1.74-1.87
Mo (0.6172, 0.5951, 0.6556)  4 O 1.74-1.87
O (0.1179, 0.1646, 0.0973)  1 Mo 1.76
O (0.8821, 0.6646, 0.4027)  1 Mo 1.76
O (0.8821, 0.8354, 0.9027)  1 Mo 1.76
O (0.1179, 0.3354, 0.5973)  1 Mo 1.76
O (0.5531, 0.9726, 0.2925)  1 Mo 1.75
O (0.4469, 0.4726, 0.2075)  1 Mo 1.75
O (0.4469, 0.0274, 0.7075)  1 Mo 1.75
O (0.5531, 0.5274, 0.7925)  1 Mo 1.75
O (0.0223, 0.3714, 0.8967)  1 Mo 1.75
O (0.9777, 0.8714, 0.6033)  1 Mo 1.75
O (0.9777, 0.6286, 0.1033)  1 Mo 1.75
O (0.0223, 0.1286, 0.3967)  1 Mo 1.75
O (0.5000, 0.5000, 0.5000)  2 Mo 1.87
O (0.5000, 0.0000, 0.0000)  2 Mo 1.87
O (0.7502, 0.3650, 0.3834)  1 Mo 1.79
O (0.2498, 0.8650, 0.1166)  1 Mo 1.79
O (0.2498, 0.6350, 0.6166)  1 Mo 1.79
O (0.7502, 0.1350, 0.8834)  1 Mo 1.79
O (0.6132, 0.7762, 0.6498)  1 Mo 1.74
O (0.3868, 0.2762, 0.8502)  1 Mo 1.74
O (0.3868, 0.2238, 0.3502)  1 Mo 1.74
O (0.6132, 0.7238, 0.1498)  1 Mo 1.74
O (0.7824, 0.1528, 0.5821)  1 Mo 1.75
O (0.2176, 0.6528, 0.9179)  1 Mo 1.75
O (0.2176, 0.8472, 0.4179)  1 Mo 1.75
O (0.7824, 0.3472, 0.0821)  1 Mo 1.75
O (0.8764, 0.5549, 0.6815)  1 Mo 1.74
O (0.1236, 0.0549, 0.8185)  1 Mo 1.74
O (0.1236, 0.4451, 0.3185)  1 Mo 1.74
O (0.8764, 0.9451, 0.1815)  1 Mo 1.74

Summary:
- Raw formation energy: -4935 kJ/mol of formula units
- Calculated density: 4.70 g cm⁻³
- Space-group type: P2_1/c
- E_tot: -373.9 eV for the cell shown

DFT (PBEsol) results for a geometry-optimized Y2Te3MoO12 structure.

a b c (Å): 5.1859 11.0405 17.2636
angles (deg): 90.00 90.00 90.00
Last column: nearest neighbours and their distance in Å.
Atoms (fractional coordinates):
Y (0.2540, 0.4224, 0.9395)  7 O 2.20-2.45
Y (0.2460, 0.0776, 0.4395)  7 O 2.20-2.45
Y (0.7460, 0.9224, 0.0605)  7 O 2.20-2.45
Y (0.7540, 0.5776, 0.5605)  7 O 2.20-2.45
Y (0.7460, 0.5776, 0.0605)  7 O 2.20-2.45
Y (0.7540, 0.9224, 0.5605)  7 O 2.20-2.45
Y (0.2540, 0.0776, 0.9395)  7 O 2.20-2.45
Y (0.2460, 0.4224, 0.4395)  7 O 2.20-2.45
Te (0.7827, 0.2500, 0.0500)  3 O 1.91-1.94
Te (0.7173, 0.2500, 0.5500)  3 O 1.91-1.94
Te (0.2173, 0.7500, 0.9500)  3 O 1.91-1.94
Te (0.2827, 0.7500, 0.4500)  3 O 1.91-1.94
Te (0.7724, 0.5852, 0.8273)  3 O 1.86-2.02
Te (0.7276, 0.9148, 0.3273)  3 O 1.86-2.02
Te (0.2276, 0.0852, 0.1727)  3 O 1.86-2.02
Te (0.2724, 0.4148, 0.6727)  3 O 1.86-2.02
Te (0.2276, 0.4148, 0.1727)  3 O 1.86-2.02
Te (0.2724, 0.0852, 0.6727)  3 O 1.86-2.02
Te (0.7724, 0.9148, 0.8273)  3 O 1.86-2.02
Te (0.7276, 0.5852, 0.3273)  3 O 1.86-2.02
Mo (0.7630, 0.2500, 0.8238)  4 O 1.73-1.80
Mo (0.7370, 0.2500, 0.3238)  4 O 1.73-1.80
Mo (0.2370, 0.7500, 0.1762)  4 O 1.73-1.80
Mo (0.2630, 0.7500, 0.6762)  4 O 1.73-1.80
O (0.0085, 0.2500, 0.9605)  1 Te 1.94
O (0.4915, 0.2500, 0.4605)  1 Te 1.94
O (0.9915, 0.7500, 0.0395)  1 Te 1.94
O (0.5085, 0.7500, 0.5395)  1 Te 1.94
O (0.5967, 0.3867, 0.0114)  1 Te 1.91
O (0.9033, 0.1133, 0.5114)  1 Te 1.91
O (0.4033, 0.8867, 0.9886)  1 Te 1.91
O (0.0967, 0.6133, 0.4886)  1 Te 1.91
O (0.4033, 0.6133, 0.9886)  1 Te 1.91
O (0.0967, 0.8867, 0.4886)  1 Te 1.91
O (0.5967, 0.1133, 0.0114)  1 Te 1.91
O (0.9033, 0.3867, 0.5114)  1 Te 1.91
O (0.9211, 0.5652, 0.9289)  1 Te 1.93
O (0.5789, 0.9348, 0.4289)  1 Te 1.93
O (0.0789, 0.0652, 0.0711)  1 Te 1.93
O (0.4211, 0.4348, 0.5711)  1 Te 1.93
O (0.0789, 0.4348, 0.0711)  1 Te 1.93
O (0.4211, 0.0652, 0.5711)  1 Te 1.93
O (0.9211, 0.9348, 0.9289)  1 Te 1.93
O (0.5789, 0.5652, 0.4289)  1 Te 1.93
O (0.9623, 0.3831, 0.8273)  1 Mo 1.80
O (0.5377, 0.1169, 0.3273)  1 Mo 1.80
O (0.0377, 0.8831, 0.1727)  1 Mo 1.80
O (0.4623, 0.6169, 0.6727)  1 Mo 1.80
O (0.0377, 0.6169, 0.1727)  1 Mo 1.80
O (0.4623, 0.8831, 0.6727)  1 Mo 1.80
O (0.9623, 0.1169, 0.8273)  1 Mo 1.80
O (0.5377, 0.3831, 0.3273)  1 Mo 1.80
O (0.4568, 0.5076, 0.8390)  1 Te 1.86
O (0.0432, 0.9924, 0.3390)  1 Te 1.86
O (0.5432, 0.0076, 0.1610)  1 Te 1.86
O (0.9568, 0.4924, 0.6610)  1 Te 1.86
O (0.5432, 0.4924, 0.1610)  1 Te 1.86
O (0.9568, 0.0076, 0.6610)  1 Te 1.86
O (0.4568, 0.9924, 0.8390)  1 Te 1.86
O (0.0432, 0.5076, 0.3390)  1 Te 1.86
O (0.6375, 0.7500, 0.8571)  2 Te 2.02
O (0.8625, 0.7500, 0.3571)  2 Te 2.02
O (0.3625, 0.2500, 0.1429)  2 Te 2.02
O (0.1375, 0.2500, 0.6429)  2 Te 2.02
O (0.4770, 0.2500, 0.8823)  1 Mo 1.79
O (0.0230, 0.2500, 0.3823)  1 Mo 1.79
O (0.5230, 0.7500, 0.1177)  1 Mo 1.79
O (0.9770, 0.7500, 0.6177)  1 Mo 1.79
O (0.6401, 0.2500, 0.7309)  1 Mo 1.73
O (0.8599, 0.2500, 0.2309)  1 Mo 1.73
O (0.3599, 0.7500, 0.2691)  1 Mo 1.73
O (0.1401, 0.7500, 0.7691)  1 Mo 1.73

Summary:
- Raw formation energy: -3587 kJ/mol of formula units
- Calculated density: 5.70 g cm⁻³
- Space-group type: Pnma
- E_tot: -544.6 eV for the cell shown

DFT (PBEsol) results for a geometry-optimized TiMoO2 structure.

a b c (Å): 3.7987 3.7987 3.7987
angles (deg): 60.00 60.00 60.00
Last column: nearest neighbours and their distance in Å.
Atoms (fractional coordinates):
Mo (0.5000, 0.5000, 0.5000)  8 O 2.33
O (0.2500, 0.2500, 0.2500)  4 Mo 2.33, 4 Ti 2.33
O (0.7500, 0.7500, 0.7500)  4 Mo 2.33, 4 Ti 2.33
Ti (0.0000, 0.0000, 0.0000)  8 O 2.33

Summary:
- Raw formation energy: -432 kJ/mol of formula units
- Calculated density: 7.53 g cm⁻³
- Space-group type: Fm-3m
- E_tot: -35.1 eV for the cell shown